The following is a PBE calculation of Tb4Se5F2 after structural relaxation, from Alexandria via LeMat-Bulk.

The structure in POSCAR format:
```
Tb4Se5F2
1.0
8.684 -2.033 0.000
8.684 2.033 0.000
-1.824 0.000 7.692
Tb Se F
4 5 2
direct
0.018 0.018 0.259
0.290 0.290 0.786
0.710 0.710 0.214
0.982 0.982 0.741
0.150 0.150 0.944
0.173 0.173 0.436
0.500 0.500 0.500
0.827 0.827 0.564
0.850 0.850 0.056
0.446 0.446 0.842
0.554 0.554 0.158
```

Values from the calculation:
**Formation energy from raw total energies**: -2.26 eV per atom
**Space-group type**: C2/m

The following is a PBE calculation of Na8B11C5 after structural relaxation, from Alexandria via LeMat-Bulk.

The structure in POSCAR format:
```
Na8B11C5
1.0
8.704 -2.494 0.000
8.704 2.494 0.000
-0.976 0.000 5.739
Na B C
8 11 5
direct
0.124 0.124 0.062
0.125 0.126 0.563
0.375 0.376 0.688
0.375 0.377 0.188
0.623 0.625 0.812
0.624 0.625 0.312
0.874 0.875 0.437
0.876 0.876 0.938
0.069 0.431 0.877
0.320 0.680 0.000
0.337 0.663 0.500
0.414 0.086 0.384
0.441 0.058 0.860
0.569 0.931 0.123
0.661 0.339 0.000
0.843 0.156 0.738
0.844 0.157 0.262
0.914 0.586 0.616
0.942 0.559 0.140
0.076 0.425 0.382
0.165 0.835 0.255
0.165 0.835 0.745
0.575 0.924 0.618
0.666 0.334 0.500
```

Values from the calculation:
**DOS(E_F)**: 2.09 states/eV/f.u.
**Relative energy among the computed polymorphs**: 0.040 eV per atom
**Energy of formation from the pure elements**: 14 kJ/mol of atoms
**Space-group type**: C2

The following is a PBE calculation of Cs2AcPuS4 after structural relaxation, from Alexandria via LeMat-Bulk.

The structure in POSCAR format:
```
Cs2AcPuS4
1.0
7.542 0.000 0.000
0.000 4.337 0.000
-2.499 0.000 8.080
Cs Ac Pu S
2 1 1 4
direct
0.000 0.000 0.000
0.500 0.500 0.000
0.000 0.500 0.500
0.500 0.000 0.500
0.243 0.000 0.690
0.288 0.500 0.319
0.712 0.500 0.681
0.757 0.000 0.310
```

Values from the calculation:
**Formation energy from raw total energies**: -1.68 eV per atom
**DOS(E_F)**: 11.51 states/eV/f.u.
**Space-group type**: P2/m

The following is a PBE calculation of Ta6TcRu5 after structural relaxation, from Alexandria via LeMat-Bulk.

The structure in POSCAR format:
```
Ta6TcRu5
1.0
7.306 -2.192 0.000
7.306 2.192 0.000
-3.103 0.000 6.017
Ta Tc Ru
6 1 5
direct
0.017 0.017 0.270
0.323 0.323 0.574
0.339 0.339 0.092
0.661 0.661 0.908
0.677 0.677 0.426
0.983 0.983 0.730
0.500 0.500 0.500
0.165 0.165 0.139
0.169 0.169 0.694
0.500 0.500 0.000
0.831 0.831 0.306
0.835 0.835 0.861
```

Values from the calculation:
**DOS(E_F)**: 10.89 states/eV/f.u.
**Energy of formation from the pure elements**: -35 kJ/mol of atoms
**Space-group type**: C2/m

The following is a PBE calculation of KGe2Sb2 after structural relaxation, from Alexandria via LeMat-Bulk.

The structure in POSCAR format:
```
KGe2Sb2
1.0
-2.691 2.691 4.996
2.691 -2.691 4.996
2.691 2.691 -4.996
K Ge Sb
1 2 2
direct
0.000 0.000 0.000
0.364 0.364 0.000
0.636 0.636 0.000
0.250 0.750 0.500
0.750 0.250 0.500
```

Values from the calculation:
**Formation energy from raw total energies**: -0.04 eV per atom
**DOS(E_F)**: 3.51 states/eV/f.u.
**Relative energy among the computed polymorphs**: 0.024 eV per atom
**Space-group type**: I4/mmm

The following is a PBE calculation of Tb2Y3Mg after structural relaxation, from Alexandria via LeMat-Bulk.

The structure in POSCAR format:
```
Tb2Y3Mg
1.0
3.585 0.000 0.000
0.000 3.585 0.000
0.000 0.000 14.336
Tb Y Mg
2 3 1
direct
0.000 0.000 0.176
0.000 0.000 0.824
0.500 0.500 0.000
0.500 0.500 0.349
0.500 0.500 0.651
0.000 0.000 0.500
```

Values from the calculation:
**DOS(E_F)**: 8.73 states/eV/f.u.
**Relative energy among the computed polymorphs**: 0.000 eV per atom
**Energy of formation from the pure elements**: -2 kJ/mol of atoms
**Space-group type**: P4/mmm

The following is a PBE calculation of SmPu6 after structural relaxation, from Alexandria via LeMat-Bulk.

The structure in POSCAR format:
```
SmPu6
1.0
-3.348 3.348 3.348
3.348 -3.348 3.348
3.348 3.348 -3.348
Sm Pu
1 6
direct
0.000 0.000 0.000
0.250 0.500 0.750
0.250 0.750 0.500
0.500 0.250 0.750
0.500 0.750 0.250
0.750 0.250 0.500
0.750 0.500 0.250
```

Values from the calculation:
**DOS(E_F)**: 16.62 states/eV/f.u.
**Energy of formation from the pure elements**: 12 kJ/mol of atoms
**Space-group type**: Im-3m

The following is a PBE calculation of NaHg2Bi2Pb2 after structural relaxation, from Alexandria via LeMat-Bulk.

The structure in POSCAR format:
```
NaHg2Bi2Pb2
1.0
5.868 0.000 0.000
-0.294 5.927 0.000
-1.253 -2.637 6.016
Na Hg Bi Pb
1 2 2 2
direct
0.000 0.000 0.000
0.268 0.565 0.141
0.732 0.435 0.859
0.422 0.869 0.732
0.578 0.131 0.268
0.174 0.293 0.580
0.826 0.707 0.420
```

Values from the calculation:
**DOS(E_F)**: 2.38 states/eV/f.u.
**Energy of formation from the pure elements**: -7 kJ/mol of atoms
**Space-group type**: P-1

The following is a PBE calculation of CsSi4Pt4 after structural relaxation, from Alexandria via LeMat-Bulk.

The structure in POSCAR format:
```
CsSi4Pt4
1.0
-4.328 4.328 2.305
4.328 -4.328 2.305
4.328 4.328 -2.305
Cs Si Pt
1 4 4
direct
0.000 0.000 0.000
0.119 0.391 0.510
0.391 0.881 0.272
0.609 0.119 0.728
0.881 0.609 0.490
0.180 0.666 0.846
0.334 0.180 0.514
0.666 0.820 0.486
0.820 0.334 0.154
```

Values from the calculation:
**Formation energy from raw total energies**: -0.64 eV per atom
**DOS(E_F)**: 1.66 states/eV/f.u.
**Space-group type**: I4/m

The following is a PBE calculation of TlIn4Hg5 after structural relaxation, from Alexandria via LeMat-Bulk.

The structure in POSCAR format:
```
TlIn4Hg5
1.0
3.361 0.000 0.000
0.422 3.849 0.000
1.504 0.254 21.084
Tl In Hg
1 4 5
direct
0.000 0.000 0.000
0.025 0.005 0.599
0.055 0.012 0.795
0.945 0.988 0.205
0.975 0.995 0.401
0.457 0.490 0.107
0.457 0.491 0.302
0.500 0.500 0.500
0.543 0.509 0.698
0.543 0.510 0.893
```

Values from the calculation:
**DOS(E_F)**: 5.49 states/eV/f.u.
**Relative energy among the computed polymorphs**: 0.000 eV per atom
**Energy of formation from the pure elements**: 2 kJ/mol of atoms
**Space-group type**: P-1

The following is a PBE calculation of CoCuTc2 after structural relaxation, from Alexandria via LeMat-Bulk.

The structure in POSCAR format:
```
CoCuTc2
1.0
2.646 0.000 0.000
0.000 2.646 0.000
0.000 0.000 7.411
Co Cu Tc
1 1 2
direct
0.000 0.000 0.000
0.500 0.500 0.233
0.000 0.000 0.493
0.500 0.500 0.774
```

Values from the calculation:
**DOS(E_F)**: 4.43 states/eV/f.u.
**Relative energy among the computed polymorphs**: 0.040 eV per atom
**Energy of formation from the pure elements**: 16 kJ/mol of atoms
**Space-group type**: P4mm

The following is a PBE calculation of Pr5Sc2Tl4 after structural relaxation, from Alexandria via LeMat-Bulk.

The structure in POSCAR format:
```
Pr5Sc2Tl4
1.0
-1.870 4.362 10.691
1.870 -4.362 10.691
1.870 4.362 -10.691
Pr Sc Tl
5 2 4
direct
0.000 0.000 0.000
0.054 0.347 0.708
0.361 0.653 0.708
0.639 0.347 0.292
0.946 0.653 0.292
0.418 0.918 0.500
0.582 0.082 0.500
0.282 0.782 0.500
0.302 0.500 0.802
0.698 0.500 0.198
0.718 0.218 0.500
```

Values from the calculation:
**DOS(E_F)**: 13.16 states/eV/f.u.
**Energy of formation from the pure elements**: -14 kJ/mol of atoms
**Space-group type**: Immm

no.,electronic total energy (eV per atom)
1,-5.868
2,-5.280
3,-6.259
4,-11.017
5,-3.755
6,-5.060
7,-12.838
8,-2.517
9,-5.831
10,-1.463
11,-7.818
12,-4.328